Record 1
Material: CdSiRu
Method: DFT, GGA-PBE
State: optimized geometry

```
data_CdSiRu
_cell_length_a 3.1086
_cell_length_b 3.1086
_cell_length_c 10.0195
_cell_angle_alpha 90.00
_cell_angle_beta 90.00
_cell_angle_gamma 90.00
_symmetry_space_group_name_H-M 'I 4 m m'
_symmetry_Int_Tables_number 107
_symmetry_space_group_name_Hall 'I 4 -2'
loop_
_atom_site_label
_atom_site_fract_x
_atom_site_fract_y
_atom_site_fract_z
Cd1 0.0000 0.0000 0.0000
Si1 0.0000 0.0000 0.2992
Ru1 0.0000 0.0000 0.6992
```

Summary:
Formation energy without anion corrections   -0.159 eV/atom
M_tot   0.00 μB per formula unit
Volume   96.83 Å³/cell

Record 2
Material: Cs2LiBePt
Method: DFT, GGA-PBE
State: optimized geometry

```
data_Cs2LiBePt
_cell_length_a 6.9691
_cell_length_b 6.9691
_cell_length_c 4.2952
_cell_angle_alpha 90.00
_cell_angle_beta 90.00
_cell_angle_gamma 90.00
_symmetry_space_group_name_H-M 'P 4/m m m'
_symmetry_Int_Tables_number 123
_symmetry_space_group_name_Hall '-P 4 2'
loop_
_atom_site_label
_atom_site_fract_x
_atom_site_fract_y
_atom_site_fract_z
Cs1 0.0000 0.5000 0.0000
Li1 0.0000 0.0000 0.5000
Be1 0.5000 0.5000 0.0000
Pt1 0.5000 0.5000 0.5000
```

Summary:
M_tot   0.00 μB per formula unit
Volume   208.61 Å³/cell
VASP energy   -2.408 eV/atom

Record 3
Material: Sr3SnN
Method: DFT, GGA-PBE
State: optimized geometry

```
data_Sr3SnN
_cell_length_a 7.2070
_cell_length_b 7.2070
_cell_length_c 13.0935
_cell_angle_alpha 90.00
_cell_angle_beta 90.00
_cell_angle_gamma 90.00
_symmetry_space_group_name_H-M 'I -4 m 2'
_symmetry_Int_Tables_number 119
_symmetry_space_group_name_Hall 'I -4 -2'
loop_
_atom_site_label
_atom_site_fract_x
_atom_site_fract_y
_atom_site_fract_z
Sr1 0.0000 0.0000 0.1533
Sr2 0.0000 0.2675 0.6001
Sn1 0.0000 0.5000 0.1373
N1 0.0000 0.0000 0.5000
N2 0.0000 0.5000 0.7500
```

Summary:
Formation energy without anion corrections   -0.180 eV/atom
M_tot   0.00 μB per formula unit
Volume   680.09 Å³/cell

Record 4
Material: Sr4Te3Br
Method: DFT, GGA-PBE
State: optimized geometry

```
data_Sr4Te3Br
_cell_length_a 6.6166
_cell_length_b 6.6166
_cell_length_c 13.2361
_cell_angle_alpha 90.00
_cell_angle_beta 90.00
_cell_angle_gamma 90.00
_symmetry_space_group_name_H-M 'I 4/m m m'
_symmetry_Int_Tables_number 139
_symmetry_space_group_name_Hall '-I 4 2'
loop_
_atom_site_label
_atom_site_fract_x
_atom_site_fract_y
_atom_site_fract_z
Sr1 0.0000 0.0000 0.2470
Sr2 0.0000 0.5000 0.0000
Te1 0.0000 0.0000 0.0000
Te2 0.0000 0.5000 0.2500
Br1 0.0000 0.0000 0.5000
```

Summary:
Formation energy without anion corrections   -1.669 eV/atom
M_tot   0.00 μB per formula unit
Energy above the most stable polymorph in this dataset   0 meV/atom
Volume   579.48 Å³/cell